(1)
The following is a DFT calculation (GGA-PBEsol) of a geometry-optimized RuW3C structure.

It has space group Pm-3m (No. 221), with a = 4.0880 Å, b = 4.0880 Å, c = 4.0880 Å, α = 90.00°, β = 90.00° and γ = 90.00°. The distinct sites, in fractional coordinates, are Ru at (0.0000, 0.0000, 0.0000), W at (0.0000, 0.5000, 0.5000) and C at (0.5000, 0.5000, 0.5000).

The value obtained for the energy of formation from the pure elements is 0.18 eV per atom.



(2)
The following is a DFT calculation (GGA-PBEsol) of a geometry-optimized CrOs2Se structure.

It has space group P2/m (No. 10), with a = 2.8046 Å, b = 3.9986 Å, c = 5.1325 Å, α = 90.00°, β = 103.98° and γ = 90.00°. The distinct sites, in fractional coordinates, are Cr at (0.0000, 0.0000, 0.0000), Os at (0.3689, 0.5000, 0.7476) and Se at (0.0000, 0.0000, 0.5000).

Its formation energy without anion corrections is 0.51 eV per atom.



(3)
The following is a DFT calculation (GGA-PBEsol) of a geometry-optimized CdGaReTc2 structure.

It has space group P4/mmm (No. 123), with a = 4.6179 Å, b = 4.6179 Å, c = 5.1543 Å, α = 90.00°, β = 90.00° and γ = 90.00°. The distinct sites, in fractional coordinates, are Cd at (0.0000, 0.0000, 0.0000), Ga at (0.5000, 0.5000, 0.0000), Re at (0.0000, 0.0000, 0.5000) and Tc at (0.0000, 0.5000, 0.5000).

The value obtained for the energy of formation from the pure elements is 1.62 eV per atom.



(4)
The following is a DFT calculation (GGA-PBEsol) of a geometry-optimized GdCd structure.

It has space group Pm-3m (No. 221), with a = 3.7040 Å, b = 3.7040 Å, c = 3.7040 Å, α = 90.00°, β = 90.00° and γ = 90.00°. The distinct sites, in fractional coordinates, are Gd at (0.0000, 0.0000, 0.0000) and Cd at (0.5000, 0.5000, 0.5000).

The value obtained for the energy of formation from the pure elements is -0.36 eV per atom.



(5)
The following is a DFT calculation (GGA-PBEsol) of a geometry-optimized AsPtW2 structure.

It has space group P4/mmm (No. 123), with a = 4.6286 Å, b = 4.6286 Å, c = 2.8329 Å, α = 90.00°, β = 90.00° and γ = 90.00°. The distinct sites, in fractional coordinates, are As at (0.0000, 0.0000, 0.0000), Pt at (0.5000, 0.5000, 0.0000) and W at (0.0000, 0.5000, 0.5000).

The value obtained for the energy of formation from the pure elements is 0.15 eV per atom.



(6)
The following is a DFT calculation (GGA-PBEsol) of a geometry-optimized Ag3As structure.

It has space group Imm2 (No. 44), with a = 2.8994 Å, b = 9.2240 Å, c = 5.0983 Å, α = 90.00°, β = 90.00° and γ = 90.00°. The distinct sites, in fractional coordinates, are Ag at (0.0000, 0.0000, 0.0000), Ag at (0.0000, 0.2473, 0.6662) and As at (0.0000, 0.5000, 0.9881).

The value obtained for the energy of formation from the pure elements is 0.08 eV per atom.



(7)
The following is a DFT calculation (GGA-PBEsol) of a geometry-optimized Ca2ScPb structure.

It has space group R-3m (No. 166, hexagonal axes), with a = 3.5541 Å, b = 3.5541 Å, c = 33.1845 Å, α = 90.00°, β = 90.00° and γ = 120.00°. The distinct sites, in fractional coordinates, are Ca at (0.0000, 0.0000, 0.2461), Sc at (0.0000, 0.0000, 0.0000) and Pb at (0.0000, 0.0000, 0.5000).

The value obtained for the energy of formation from the pure elements is -0.06 eV per atom.



(8)
The following is a DFT calculation (GGA-PBEsol) of a geometry-optimized AlZn2Cd structure.

It has space group I4/mmm (No. 139), with a = 4.1076 Å, b = 4.1076 Å, c = 7.8722 Å, α = 90.00°, β = 90.00° and γ = 90.00°. The distinct sites, in fractional coordinates, are Al at (0.0000, 0.0000, 0.0000), Zn at (0.0000, 0.5000, 0.2500) and Cd at (0.0000, 0.0000, 0.5000).

The value obtained for the energy of formation from the pure elements is 0.10 eV per atom.



(9)
The following is a DFT calculation (GGA-PBEsol) of a geometry-optimized YAl2Ni structure.

It has space group P4/mmm (No. 123), with a = 3.9803 Å, b = 3.9803 Å, c = 4.3668 Å, α = 90.00°, β = 90.00° and γ = 90.00°. The distinct sites, in fractional coordinates, are Y at (0.0000, 0.0000, 0.0000), Al at (0.0000, 0.5000, 0.5000) and Ni at (0.5000, 0.5000, 0.0000).

The value obtained for the energy of formation from the pure elements is -0.31 eV per atom.



(10)
The following is a DFT calculation (GGA-PBEsol) of a geometry-optimized Y2CrBr structure.

It has space group Cmmm (No. 65), with a = 4.7639 Å, b = 4.7714 Å, c = 8.0887 Å, α = 90.00°, β = 90.00° and γ = 90.00°. The distinct sites, in fractional coordinates, are Y at (0.0000, 0.0000, 0.2164), Cr at (0.0000, 0.5000, 0.0000) and Br at (0.0000, 0.5000, 0.5000).

Its formation energy without anion corrections is -0.24 eV per atom.



(11)
The following is a DFT calculation (GGA-PBEsol) of a geometry-optimized Ta3AlGe structure.

It has space group Pm-3m (No. 221), with a = 4.6416 Å, b = 4.6416 Å, c = 4.6416 Å, α = 90.00°, β = 90.00° and γ = 90.00°. The distinct sites, in fractional coordinates, are Ta at (0.0000, 0.0000, 0.5000), Al at (0.0000, 0.0000, 0.0000) and Ge at (0.5000, 0.5000, 0.5000).

The value obtained for the energy of formation from the pure elements is 1.46 eV per atom.



(12)
The following is a DFT calculation (GGA-PBEsol) of a geometry-optimized CsHf2SiPd structure.

It has space group P4/mmm (No. 123), with a = 4.9156 Å, b = 4.9156 Å, c = 6.0466 Å, α = 90.00°, β = 90.00° and γ = 90.00°. The distinct sites, in fractional coordinates, are Cs at (0.0000, 0.0000, 0.0000), Hf at (0.0000, 0.5000, 0.5000), Si at (0.0000, 0.0000, 0.5000) and Pd at (0.5000, 0.5000, 0.0000).

Its formation energy without anion corrections is 1.09 eV per atom.